No. 1
VASP calculation (PBEsol) on an optimized crystal structure of Cs2NaAlF6.

Geometry as extended XYZ:
```
10
Lattice="0.0000 4.2773 4.2773 4.2773 0.0000 4.2773 4.2773 4.2773 0.0000" Properties=species:S:1:pos:R:3 pbc="T T T"
Cs 2.1387 2.1387 2.1387
Cs 6.4160 6.4160 6.4160
Na 0.0000 0.0000 0.0000
Al 4.2773 4.2773 4.2773
F 4.2773 4.2773 2.4352
F 4.2773 2.4352 4.2773
F 6.1195 4.2773 4.2773
F 2.4352 4.2773 4.2773
F 4.2773 6.1195 4.2773
F 4.2773 4.2773 6.1195
```

- Space-group type: No. 225
- E_form (uncorrected): -3.1917 eV per atom



No. 2
VASP calculation (PBEsol) on an optimized crystal structure of CsAlPdF6.

Geometry as extended XYZ:
```
36
Lattice="7.4184 0.0000 0.0000 0.0000 7.1912 0.0000 0.0000 0.0000 10.2172" Properties=species:S:1:pos:R:3 pbc="T T T"
Cs 0.0355 1.7978 1.4481
Cs 3.6738 5.3934 6.5568
Cs 3.7447 1.7978 3.6605
Cs 7.3830 5.3934 8.7691
Al 0.0000 0.0000 5.1086
Al 0.0000 3.5956 5.1086
Al 3.7092 0.0000 0.0000
Al 3.7092 3.5956 0.0000
Pd 1.8137 1.7978 7.6880
Pd 1.8956 5.3934 2.5793
Pd 5.5229 1.7978 7.6379
Pd 5.6048 5.3934 2.5293
F 0.0394 1.7978 4.8675
F 0.0540 5.3934 1.4922
F 1.2308 0.1079 6.4270
F 1.2308 3.4877 6.4270
F 1.3286 3.7407 3.8908
F 1.3286 7.0461 3.8908
F 2.3807 0.1451 8.9994
F 2.3807 3.4505 8.9994
F 2.4784 3.7035 1.3184
F 2.4784 7.0833 1.3184
F 3.6552 1.7978 6.6009
F 3.6698 5.3934 9.9761
F 3.7487 1.7978 0.2411
F 3.7632 5.3934 3.6164
F 4.9400 0.1079 8.8989
F 4.9400 3.4877 8.8989
F 5.0378 3.7407 1.2178
F 5.0378 7.0461 1.2178
F 6.0899 0.1451 6.3264
F 6.0899 3.4505 6.3264
F 6.1877 3.7035 3.7902
F 6.1877 7.0833 3.7902
F 7.3644 1.7978 8.7250
F 7.3790 5.3934 5.3497
```

- Space-group type: No. 62
- E_form (uncorrected): -2.6194 eV per atom



No. 3
VASP calculation (PBEsol) on an optimized crystal structure of CsAlRhF2.

Geometry as extended XYZ:
```
5
Lattice="3.7954 0.0000 0.0000 0.0000 3.7954 0.0000 0.0000 0.0000 8.1323" Properties=species:S:1:pos:R:3 pbc="T T T"
Cs 0.0000 0.0000 0.0000
Al 0.0000 0.0000 4.0662
Rh 1.8977 1.8977 0.0000
F 0.0000 1.8977 4.0662
F 1.8977 0.0000 4.0662
```

- Space-group type: No. 123
- E_form (uncorrected): -0.7498 eV per atom



No. 4
VASP calculation (PBEsol) on an optimized crystal structure of CsAlGe3.

Geometry as extended XYZ:
```
5
Lattice="5.5866 0.0000 0.0000 0.0000 5.5866 0.0000 0.0000 0.0000 5.5866" Properties=species:S:1:pos:R:3 pbc="T T T"
Cs 0.0000 0.0000 0.0000
Al 2.7933 2.7933 2.7933
Ge 0.0000 0.0000 2.7933
Ge 0.0000 2.7933 0.0000
Ge 2.7933 0.0000 0.0000
```

- Space-group type: No. 221
- Energy relative to the elements: 1.863 eV per atom



No. 5
VASP calculation (PBEsol) on an optimized crystal structure of Cs3AlGe2O7.

Geometry as extended XYZ:
```
26
Lattice="4.7991 -8.5875 0.0000 4.7991 8.5875 0.0000 -4.5790 0.0000 6.1144" Properties=species:S:1:pos:R:3 pbc="T T T"
Cs 1.3649 8.3942 4.5858
Cs -1.3131 3.3635 4.4894
Cs 0.9764 -3.3635 1.4322
Cs 4.0429 3.3635 4.6822
Cs 6.3324 -3.3635 1.6250
Cs 3.6544 -8.3942 1.5286
Al 1.3649 1.0138 4.5858
Al 3.6544 -1.0138 1.5286
Ge 2.0315 1.7128 1.5861
Ge -0.2579 -1.7128 4.6433
Ge 5.2772 1.7128 1.4711
Ge 2.9878 -1.7128 4.5283
O -0.8284 6.2368 5.7798
O 3.5582 6.2368 3.3918
O 1.4117 2.1123 3.1993
O -0.1043 0.0457 4.4888
O 2.1852 -0.0457 1.4316
O 3.6544 2.5091 1.5286
O 1.3181 2.1123 5.9723
O 3.7012 -2.1123 0.1421
O 1.3649 -2.5091 4.5858
O 2.8341 0.0457 4.6827
O 5.1236 -0.0457 1.6256
O 3.6075 -2.1123 2.9151
O 1.4611 -6.2368 2.7226
O 5.8477 -6.2368 0.3346
```

- Space-group type: No. 15
- E_form (uncorrected): -2.0638 eV per atom



No. 6
VASP calculation (PBEsol) on an optimized crystal structure of Cs3AlH.

Geometry as extended XYZ:
```
5
Lattice="5.9943 0.0000 0.0000 0.0000 5.9943 0.0000 0.0000 0.0000 5.9943" Properties=species:S:1:pos:R:3 pbc="T T T"
Cs 0.0000 0.0000 2.9971
Cs 0.0000 2.9971 0.0000
Cs 2.9971 0.0000 0.0000
Al 2.9971 2.9971 2.9971
H 0.0000 0.0000 0.0000
```

- Space-group type: No. 221



No. 7
VASP calculation (PBEsol) on an optimized crystal structure of CsAl3H.

Geometry as extended XYZ:
```
5
Lattice="4.7589 0.0000 0.0000 0.0000 4.7589 0.0000 0.0000 0.0000 4.7589" Properties=species:S:1:pos:R:3 pbc="T T T"
Cs 0.0000 0.0000 0.0000
Al 0.0000 2.3795 2.3795
Al 2.3795 0.0000 2.3795
Al 2.3795 2.3795 0.0000
H 2.3795 2.3795 2.3795
```

- Space-group type: No. 221



No. 8
VASP calculation (PBEsol) on an optimized crystal structure of Cs3AlI6.

Geometry as extended XYZ:
```
10
Lattice="0.0000 6.3964 6.3964 6.3964 0.0000 6.3964 6.3964 6.3964 0.0000" Properties=species:S:1:pos:R:3 pbc="T T T"
Cs 0.0000 0.0000 0.0000
Cs 3.1982 3.1982 3.1982
Cs 9.5946 9.5946 9.5946
Al 6.3964 6.3964 6.3964
I 6.3964 6.3964 3.6157
I 6.3964 3.6157 6.3964
I 9.1771 6.3964 6.3964
I 3.6157 6.3964 6.3964
I 6.3964 9.1771 6.3964
I 6.3964 6.3964 9.1771
```

- Space-group type: No. 225
- E_form (uncorrected): -1.1202 eV per atom



No. 9
VASP calculation (PBEsol) on an optimized crystal structure of CsAlIO2.

Geometry as extended XYZ:
```
5
Lattice="4.3460 0.0000 0.0000 0.0000 4.3460 0.0000 0.0000 0.0000 5.3955" Properties=species:S:1:pos:R:3 pbc="T T T"
Cs 0.0000 0.0000 0.0000
Al 2.1730 2.1730 2.6977
I 2.1730 2.1730 0.0000
O 0.0000 2.1730 2.6977
O 2.1730 0.0000 2.6977
```

- Space-group type: No. 123
- E_form (uncorrected): -0.7211 eV per atom



No. 10
VASP calculation (PBEsol) on an optimized crystal structure of Cs2AlTlI6.

Geometry as extended XYZ:
```
10
Lattice="0.0000 6.1651 6.1651 6.1651 0.0000 6.1651 6.1651 6.1651 0.0000" Properties=species:S:1:pos:R:3 pbc="T T T"
Cs 3.0826 3.0826 3.0826
Cs 9.2477 9.2477 9.2477
Al 0.0000 0.0000 0.0000
Tl 6.1651 6.1651 6.1651
I 6.1651 6.1651 2.7915
I 6.1651 2.7915 6.1651
I 9.5388 6.1651 6.1651
I 2.7915 6.1651 6.1651
I 6.1651 9.5388 6.1651
I 6.1651 6.1651 9.5388
```

- Space-group type: No. 225
- E_form (uncorrected): -0.9724 eV per atom



No. 11
VASP calculation (PBEsol) on an optimized crystal structure of CsAl2In.

Geometry as extended XYZ:
```
8
Lattice="-2.7664 2.7664 9.4772 2.7664 -2.7664 9.4772 2.7664 2.7664 -9.4772" Properties=species:S:1:pos:R:3 pbc="T T T"
Cs 2.7664 1.3832 2.3693
Cs 0.0000 1.3832 7.1079
Al 0.0000 0.0000 0.0000
Al 1.3832 1.3832 -4.7386
Al 1.3832 -1.3832 4.7386
Al 0.0000 2.7664 0.0000
In 2.7664 -1.3832 7.1079
In 0.0000 4.1496 2.3693
```

- Space-group type: No. 141
- Energy relative to the elements: 0.337 eV per atom



No. 12
VASP calculation (PBEsol) on an optimized crystal structure of CsAl2In2.

Geometry as extended XYZ:
```
5
Lattice="-2.3516 2.3516 6.2275 2.3516 -2.3516 6.2275 2.3516 2.3516 -6.2275" Properties=species:S:1:pos:R:3 pbc="T T T"
Cs 0.0000 0.0000 0.0000
Al 2.3516 0.0000 3.1138
Al 0.0000 2.3516 3.1138
In 0.0000 0.0000 4.7245
In 0.0000 0.0000 7.7306
```

- Space-group type: No. 139
- Energy relative to the elements: 0.038 eV per atom



no.,total energy (eV/atom),size of the total moment (Bohr magnetons per cell)
1,-5.086,0.0
2,-5.126,8.0
3,-4.155,0.0
4,-2.107,0.0
5,-6.182,0.2
6,-1.832,2.6
7,-2.511,0.0
8,-2.872,0.0
9,-4.181,0.9
10,-2.893,0.0
11,-2.690,0.0
12,-2.980,0.0